La2HoAlO6 after structural relaxation, computed with GGA-PBE.

Cell lengths 5.672, 5.769, 8.112 Å; angles 90.00, 89.26, 90.00 degrees
Fractional coordinates of all 20 atoms:
O  0.596  0.030  0.232
O  0.404  0.970  0.768
O  0.273  0.692  0.450
O  0.189  0.223  0.447
O  0.773  0.808  0.950
O  0.227  0.192  0.050
O  0.904  0.530  0.268
O  0.096  0.470  0.732
O  0.727  0.308  0.550
O  0.311  0.723  0.053
O  0.689  0.277  0.947
O  0.811  0.777  0.553
Ho  0.000  0.500  0.000
Ho  0.500  0.000  0.500
La  0.988  0.041  0.749
La  0.512  0.541  0.751
La  0.012  0.959  0.251
La  0.488  0.459  0.249
Al  0.500  0.000  0.000
Al  0.000  0.500  0.500

Output
As for the uncorrected formation energy: -3350 meV per atom. For the density, the calculation gives 7.08 g/cm3. The value obtained for the total energy is -8.143 eV/atom.



La2HoAlO after structural relaxation, computed with GGA-PBE.

Cell lengths 4.687, 5.071, 5.071 Å; angles 90.00, 90.00, 90.00 degrees
Fractional coordinates of all 5 atoms:
La  0.000  0.000  0.500
La  0.000  0.500  0.000
O  0.000  0.000  0.000
Ho  0.500  0.000  0.000
Al  0.500  0.500  0.500

Output
As for the uncorrected formation energy: -1329 meV per atom. For the density, the calculation gives 6.69 g/cm3. The value obtained for the total energy is -5.956 eV/atom.



LaHoAl2Pd5 after structural relaxation, computed with GGA-PBE.

Cell lengths 4.300, 4.300, 9.229 Å; angles 90.00, 90.00, 90.00 degrees
Fractional coordinates of all 9 atoms:
Pd  0.500  0.000  0.731
Pd  0.000  0.500  0.731
Pd  0.000  0.500  0.269
Pd  0.500  0.000  0.269
Pd  0.500  0.500  0.500
Al  0.500  0.500  0.139
Al  0.500  0.500  0.861
La  0.000  0.000  0.500
Ho  0.000  0.000  0.000

Output
As for the formation energy: -803 meV/atom. For the density, the calculation gives 8.66 g/cm3. The value obtained for the total energy is -5.576 eV/atom.



LaHoAlPd after structural relaxation, computed with GGA-PBE.

Cell lengths 5.182, 5.182, 5.182 Å; angles 60.00, 60.00, 60.00 degrees
Fractional coordinates of all 4 atoms:
Ho  0.000  0.000  0.000
La  0.500  0.500  0.500
Pd  0.250  0.250  0.250
Al  0.750  0.750  0.750

Output
As for the formation energy: -512 meV/atom. For the density, the calculation gives 7.38 g/cm3. The value obtained for the total energy is -5.122 eV/atom.